First-principles (PBE-GGA) data for a geometry-optimized LaInTc2Mo structure, as listed in the Alexandria database.

Properties
Crystal system: tetragonal
Volume: 23.7 A^3/atom
Formation enthalpy at 0 K: 0.7463 eV per atom
Total magnetization: 0.0 Bohr magnetons per cell

Cell lengths 4.773, 4.773, 5.204 Å; angles 90.00, 90.00, 90.00 degrees
Fractional coordinates of all 5 atoms:
La  0.000  0.000  0.000
In  0.500  0.500  0.000
Tc  0.000  0.500  0.500
Tc  0.500  0.000  0.500
Mo  0.500  0.500  0.500